First-principles (PBE) data for a geometry-optimized ZrCr2Br structure, as listed in the Alexandria database.

The structure belongs to space group Pmmm (No. 47); the cell edges are 3.161, 4.530 and 5.130 Å and the angles 90.00°, 90.00° and 90.00°. The asymmetric unit holds Zr at (0.000, 0.000, 0.000), Cr at (0.000, 0.500, 0.500), Cr at (0.500, 0.000, 0.500) and Br at (0.500, 0.500, 0.000).

As for the uncorrected formation energy: 177 kJ/mol of formula units. The value obtained for the energy above the lowest structure with this stoichiometry is 389 meV per atom. Its volume is 73 Å³ per cell.